# 1
An optimized crystal structure of CdIBr, computed with PBE.

abc: 4.3605 4.3605 12.4320
angles: 90.00 90.00 90.00
Closest atoms and distances in Å follow each position.
Atoms (fractional coordinates):
1 Cd 0.5000 0.5000 0.5000  4 I 2.82
2 I 0.5000 0.0000 0.3555  2 Cd 2.82
3 Br 0.5000 0.0000 0.8771  2 Cd 2.66
4 Br 0.0000 0.5000 0.1229  2 Cd 2.66
5 Cd 0.0000 0.0000 0.0000  4 Br 2.66
6 I 0.0000 0.5000 0.6445  2 Cd 2.82



# 2
An optimized crystal structure of HgOsO3, computed with PBE.

abc: 3.9042 3.9042 3.9776
angles: 90.00 90.00 90.00
Closest atoms and distances in Å follow each position.
Atoms (fractional coordinates):
1 O 0.0000 0.5000 0.5786  2 Os 1.95
2 Os 0.5000 0.5000 0.5796  6 O 1.95-1.99
3 Hg 0.0000 0.0000 0.0833  12 O 2.76-2.80
4 O 0.5000 0.5000 0.0798  2 Os 1.99
5 O 0.5000 0.0000 0.5786  2 Os 1.95



# 3
An optimized crystal structure of ZrUGa, computed with PBE.

The energy relative to the lowest polymorph listed for this composition comes out at 0 meV per atom.

abc: 4.6634 4.6634 4.6634
angles: 60.00 60.00 60.00
Closest atoms and distances in Å follow each position.
Atoms (fractional coordinates):
1 U 0.2500 0.2500 0.2500  4 Ga 2.86
2 Ga 0.0000 0.0000 0.0000  4 U 2.86, 4 Zr 2.86
3 Zr 0.7500 0.7500 0.7500  4 Ga 2.86



# 4
An optimized crystal structure of NiAu3, computed with PBE.

The formation energy from the elements is 0.0797 eV per atom.

abc: 5.6779 5.6779 4.6711
angles: 90.00 90.00 120.00
Closest atoms and distances in Å follow each position.
Atoms (fractional coordinates):
1 Au 0.3389 0.1695 0.7500  8 Au 2.79-2.89, 4 Ni 2.84
2 Ni 0.3333 0.6667 0.7500  12 Au 2.84
3 Au 0.8305 0.6611 0.7500  8 Au 2.79-2.89, 4 Ni 2.84
4 Au 0.6611 0.8305 0.2500  8 Au 2.79-2.89, 4 Ni 2.84
5 Au 0.1695 0.8305 0.2500  8 Au 2.79-2.89, 4 Ni 2.84
6 Au 0.8305 0.1695 0.7500  8 Au 2.79-2.89, 4 Ni 2.84
7 Au 0.1695 0.3389 0.2500  8 Au 2.79-2.89, 4 Ni 2.84
8 Ni 0.6667 0.3333 0.2500  12 Au 2.84



no.,DFT total energy (eV per cell)
1,-12.52
2,-28.54
3,-21.61
4,-30.10